[1]
Computed, not measured: a geometry-optimized SmErAgRh structure at the GGA-PBE level of DFT.

a b c (Å): 5.0183 5.0183 5.0183
angles (deg): 60.00 60.00 60.00
Last column: nearest neighbours and their distance in Å.
Atoms (fractional coordinates):
Rh1 0.7500 0.7500 0.7500  4 Sm 3.07, 4 Er 3.07
Ag1 0.2500 0.2500 0.2500  4 Sm 3.07, 4 Er 3.07
Sm1 0.5000 0.5000 0.5000  4 Rh 3.07, 4 Ag 3.07
Er1 0.0000 0.0000 0.0000  4 Ag 3.07, 4 Rh 3.07

Values from the calculation:
As for the crystal system: cubic. As for the symmetry: No. 216. As for the energy above the lowest structure with this stoichiometry: 0.027 eV per atom.


[2]
Computed, not measured: a geometry-optimized TbErAgRh structure at the GGA-PBE level of DFT.

a b c (Å): 4.9766 4.9766 4.9766
angles (deg): 60.00 60.00 60.00
Last column: nearest neighbours and their distance in Å.
Atoms (fractional coordinates):
Rh1 0.7500 0.7500 0.7500  4 Er 3.05, 4 Tb 3.05
Tb1 0.0000 0.0000 0.0000  4 Ag 3.05, 4 Rh 3.05
Ag1 0.2500 0.2500 0.2500  4 Tb 3.05, 4 Er 3.05
Er1 0.5000 0.5000 0.5000  4 Rh 3.05, 4 Ag 3.05

Values from the calculation:
As for the crystal system: cubic. As for the symmetry: No. 216. As for the energy above the lowest structure with this stoichiometry: 0.021 eV per atom.


[3]
Computed, not measured: a geometry-optimized TbErAgRh structure at the GGA-PBE level of DFT.

a b c (Å): 3.4992 3.4992 7.1672
angles (deg): 90.00 90.00 90.00
Last column: nearest neighbours and their distance in Å.
Atoms (fractional coordinates):
Tb1 0.0000 0.0000 0.8357  4 Rh 2.99, 4 Ag 3.18, 1 Er 3.29
Er1 0.0000 0.0000 0.3771  4 Rh 2.95, 4 Ag 3.11, 1 Tb 3.29
Ag1 0.5000 0.5000 0.1133  4 Er 3.11, 4 Tb 3.18
Rh1 0.5000 0.5000 0.6018  4 Er 2.95, 4 Tb 2.99

Values from the calculation:
As for the crystal system: tetragonal. As for the symmetry: No. 99. As for the energy above the lowest structure with this stoichiometry: 0.000 eV per atom.


[4]
Computed, not measured: a geometry-optimized ErTh2AgRh5 structure at the GGA-PBE level of DFT.

a b c (Å): 8.2932 8.2932 8.0883
angles (deg): 120.84 120.84 90.00
Last column: nearest neighbours and their distance in Å.
Atoms (fractional coordinates):
Er1 0.2500 0.2500 0.5000  2 Rh 2.79
Er2 0.7500 0.7500 0.5000  2 Rh 2.79
Th1 0.1394 0.3606 0.0000  2 Rh 2.48
Th2 0.6394 0.1394 0.0000  2 Rh 2.48
Th3 0.3606 0.8606 0.0000  2 Rh 2.48
Th4 0.8606 0.6394 0.0000  2 Rh 2.48
Ag1 0.2500 0.7500 0.5000  4 Rh 2.60
Ag2 0.7500 0.2500 0.5000  4 Rh 2.60
Rh1 0.9437 0.4437 0.2754  1 Th 2.48, 1 Ag 2.60
Rh2 0.6682 0.1682 0.7246  1 Th 2.48, 1 Ag 2.60
Rh3 0.0563 0.5563 0.7246  1 Th 2.48, 1 Ag 2.60
Rh4 0.1682 0.0563 0.7246  1 Th 2.48, 1 Ag 2.60
Rh5 0.5563 0.6682 0.7246  1 Th 2.48, 1 Ag 2.60
Rh6 0.8318 0.9437 0.2754  1 Th 2.48, 1 Ag 2.60
Rh7 0.4437 0.3318 0.2754  1 Th 2.48, 1 Ag 2.60
Rh8 0.3318 0.8318 0.2754  1 Th 2.48, 1 Ag 2.60
Rh9 0.5000 0.5000 0.0000  2 Er 2.79
Rh10 0.0000 0.0000 0.0000  2 Er 2.79

Values from the calculation:
As for the crystal system: tetragonal. As for the symmetry: No. 140.


Number 1: raw total energy -0.398 Ry/atom, formation energy from the elements -0.539 eV/atom. Number 2: raw total energy -0.399 Ry/atom, formation energy from the elements -0.581 eV/atom. Number 3: raw total energy -0.401 Ry/atom, formation energy from the elements -0.602 eV/atom. Number 4: raw total energy -0.504 Ry/atom, formation energy from the elements -0.298 eV/atom.